UMnCuRu PBE-GGA relaxed; N(E_F) = 1.833 states/eV per atom; formation enthalpy at 0 K = 0.48 eV/f.u.; symmetry = No. 216
1.0
0.000 3.147 3.147
3.147 0.000 3.147
3.147 3.147 0.000
U Mn Cu Ru
1 1 1 1
Direct
0.000 0.000 0.000 U
0.750 0.750 0.750 Mn
0.500 0.500 0.500 Cu
0.250 0.250 0.250 Ru


MnVCuRu PBE-GGA relaxed; N(E_F) = 0.440 states/eV per atom; formation enthalpy at 0 K = -0.04 eV/f.u.; symmetry = No. 216
1.0
0.000 2.970 2.970
2.970 0.000 2.970
2.970 2.970 0.000
Mn V Cu Ru
1 1 1 1
Direct
0.000 0.000 0.000 Mn
0.250 0.250 0.250 V
0.750 0.750 0.750 Cu
0.500 0.500 0.500 Ru